SbTe2Au: relaxed, PBE.

Lattice parameters (Å, degrees): 7.005 8.900 8.763 90.00 90.00 90.00
Element x y z (fractional)
Te: 0.893 0.975 0.349
Te: 0.885 0.383 0.647
Te: 0.385 0.117 0.147
Te: 0.393 0.025 0.651
Te: 0.885 0.883 0.853
Te: 0.393 0.525 0.849
Te: 0.893 0.475 0.151
Te: 0.385 0.617 0.353
Au: 0.014 0.594 0.862
Au: 0.014 0.094 0.638
Au: 0.514 0.406 0.138
Au: 0.514 0.906 0.362
Sb: 0.981 0.140 0.078
Sb: 0.481 0.360 0.578
Sb: 0.981 0.640 0.422
Sb: 0.481 0.860 0.922

- formation energy (no corrections) (meV per atom) = 15
- density (kg/m³) = 6977
- total DFT energy (no corrections) (eV for the cell shown) = -54.5
- volume (Å³/cell) = 546.4

Ni2SbOs: relaxed, PBE.

Lattice parameters (Å, degrees): 4.524 4.524 2.959 89.98 89.98 109.22
Element x y z (fractional)
Ni: 0.500 0.500 0.000
Ni: 0.000 0.000 0.000
Sb: 0.000 0.500 0.500
Os: 0.500 0.000 0.500

- DOS at the Fermi energy (states/eV/f.u.) = 3.97
- formation energy (no corrections) (meV per atom) = 274
- density (kg/m³) = 12466
- total DFT energy (no corrections) (eV for the cell shown) = -25.8
- volume (Å³/cell) = 57.2

Pr3Zn2Cd7: relaxed, PBE.

Lattice parameters (Å, degrees): 5.976 5.976 9.977 72.57 72.57 60.00
Element x y z (fractional)
Pr: 0.140 0.140 0.579
Pr: 0.000 0.000 0.000
Pr: 0.860 0.860 0.421
Cd: 0.074 0.582 0.761
Cd: 0.418 0.418 0.239
Cd: 0.500 0.500 0.500
Cd: 0.582 0.582 0.761
Cd: 0.582 0.074 0.761
Cd: 0.926 0.418 0.239
Cd: 0.418 0.926 0.239
Zn: 0.665 0.665 0.004
Zn: 0.335 0.335 0.996

- DOS at the Fermi energy (states/eV/f.u.) = 8.01
- density (kg/m³) = 7687
- total DFT energy (no corrections) (eV for the cell shown) = -26.3
- energy of formation (eV per atom) = -0.252
- volume (Å³/cell) = 289.6

Eu2SnBi: relaxed, PBE.

Lattice parameters (Å, degrees): 5.653 5.653 5.653 60.00 60.00 60.00
Element x y z (fractional)
Eu: 0.250 0.250 0.250
Eu: 0.750 0.750 0.750
Bi: 0.500 0.500 0.500
Sn: 0.000 0.000 0.000

- DOS at the Fermi energy (states/eV/f.u.) = 2.48
- ΔE to the lowest computed polymorph (eV per atom) = 0.053
- density (kg/m³) = 8212
- total DFT energy (no corrections) (eV for the cell shown) = -31.0
- energy of formation (eV per atom) = -0.645
- volume (Å³/cell) = 127.7

CdRePt2: relaxed, PBE.

Lattice parameters (Å, degrees): 9.473 9.473 9.473 17.26 17.26 17.26
Element x y z (fractional)
Cd: 0.750 0.750 0.750
Pt: 0.505 0.505 0.505
Pt: 0.995 0.995 0.995
Re: 0.250 0.250 0.250

- DOS at the Fermi energy (states/eV/f.u.) = 5.74
- density (kg/m³) = 17515
- total DFT energy (no corrections) (eV for the cell shown) = -25.6
- energy of formation (eV per atom) = -0.040
- volume (Å³/cell) = 65.3

BiSb2Pd: relaxed, PBE.

Lattice parameters (Å, degrees): 6.477 6.477 7.886 65.75 65.75 90.00
Element x y z (fractional)
Bi: 0.750 0.250 0.500
Bi: 0.000 0.000 0.000
Sb: 0.568 0.125 0.250
Sb: 0.182 0.625 0.250
Sb: 0.375 0.432 0.750
Sb: 0.875 0.818 0.750
Pd: 0.500 0.500 0.000
Pd: 0.250 0.750 0.500

- DOS at the Fermi energy (states/eV/f.u.) = 2.68
- formation energy (no corrections) (meV per atom) = -11
- density (kg/m³) = 6892
- total DFT energy (no corrections) (eV for the cell shown) = -34.7
- volume (Å³/cell) = 269.3

MgIO2F: relaxed, PBE.

Lattice parameters (Å, degrees): 3.842 3.842 6.712 90.00 90.00 90.00
Element x y z (fractional)
I: 0.000 0.000 0.500
O: 0.000 0.500 0.000
O: 0.500 0.000 0.000
Mg: 0.000 0.000 0.000
F: 0.500 0.500 0.500

- DOS at the Fermi energy (states/eV/f.u.) = 4.35
- formation energy (no corrections) (meV per atom) = -498
- density (kg/m³) = 3389
- total DFT energy (no corrections) (eV for the cell shown) = -17.4
- volume (Å³/cell) = 99.1

Ti4MnNi3: relaxed, PBE.

Lattice parameters (Å, degrees): 2.995 2.995 12.056 90.00 90.00 90.00
Element x y z (fractional)
Ni: 0.500 0.500 0.753
Ni: 0.500 0.500 0.500
Ni: 0.500 0.500 0.247
Ti: 0.000 0.000 0.119
Ti: 0.000 0.000 0.374
Ti: 0.000 0.000 0.626
Ti: 0.000 0.000 0.881
Mn: 0.500 0.500 0.000

- DOS at the Fermi energy (states/eV/f.u.) = 11.78
- density (kg/m³) = 6488
- total DFT energy (no corrections) (eV for the cell shown) = -60.9
- energy of formation (eV per atom) = -0.354
- volume (Å³/cell) = 108.1